# Tb3Er2ScAs6

An optimized crystal structure of Tb3Er2ScAs6 (PBE-GGA, the Alexandria database).

Cell lengths 4.0819, 8.1552, 9.1182 Å; angles 102.87, 102.93, 90.00 degrees
Element x y z (fractional)
1 Tb 0.5000 0.5000 0.0000
2 Tb 0.8328 0.1658 0.6656
3 Tb 0.1672 0.8342 0.3344
4 Er 0.8343 0.6680 0.6686
5 Er 0.1657 0.3320 0.3314
6 Sc 0.5000 0.0000 0.0000
7 As 0.3374 0.9166 0.6748
8 As 0.6675 0.5813 0.3350
9 As 0.6626 0.0834 0.3252
10 As 0.0002 0.2394 0.0004
11 As 0.9998 0.7606 0.9996
12 As 0.3325 0.4187 0.6650

## Properties
Its total energy is -6.27 eV/atom. Its magnetization is 0.000 Bohr magnetons per cell. The theoretical density comes out at 7.53 g/cm³. The formation energy comes out at -1.496 eV/atom. For the density of states at the Fermi level, the calculation gives 1.8 states/eV per cell. Its space group is C2/m, No. 12.

***

# SrLaZr2W

An optimized crystal structure of SrLaZr2W (PBE-GGA, the Alexandria database).

Cell lengths 5.2465, 5.0633, 5.2465 Å; angles 90.00, 90.00, 90.00 degrees
Element x y z (fractional)
1 Sr 0.0000 0.0000 0.0000
2 Zr 0.0000 0.0000 0.5000
3 Zr 0.5000 0.0000 0.0000
4 W 0.0000 0.5000 0.0000
5 La 0.5000 0.5000 0.5000

## Properties
Its total energy is -5.41 eV/atom. Its magnetization is 0.000 Bohr magnetons per cell. The theoretical density comes out at 7.06 g/cm³. The formation energy comes out at 1.919 eV/atom. For the density of states at the Fermi level, the calculation gives 12.1 states/eV per cell. Its space group is P4/mmm, No. 123.

***

# KAgCl2

An optimized crystal structure of KAgCl2 (PBE-GGA, the Alexandria database).

Cell lengths 4.4105, 4.4105, 6.9110 Å; angles 80.85, 80.85, 64.75 degrees
Element x y z (fractional)
1 K 0.7500 0.7500 0.7500
2 Ag 0.2500 0.2500 0.2500
3 Cl 0.0520 0.0520 0.0093
4 Cl 0.4480 0.4480 0.4907

## Properties
Its total energy is -3.09 eV/atom. Its magnetization is 0.000 Bohr magnetons per cell. The theoretical density comes out at 3.03 g/cm³. The value obtained for the raw formation energy is -4.73 eV/f.u. For the density of states at the Fermi level, the calculation gives 0.0 states/eV per cell. Its space group is C2/m, No. 12.

***

# BaAcLa2

An optimized crystal structure of BaAcLa2 (PBE-GGA, the Alexandria database).

Cell lengths 3.9066, 3.9066, 11.3997 Å; angles 90.00, 90.00, 90.00 degrees
Element x y z (fractional)
1 Ac 0.5000 0.5000 0.0000
2 Ba 0.5000 0.5000 0.5000
3 La 0.0000 0.0000 0.7752
4 La 0.0000 0.0000 0.2248

## Properties
Its total energy is -3.88 eV/atom. Its magnetization is 0.000 Bohr magnetons per cell. The theoretical density comes out at 6.13 g/cm³. As for the energy above the most stable polymorph in this dataset: 0.0000 eV per atom. The formation energy comes out at 0.090 eV/atom. For the density of states at the Fermi level, the calculation gives 7.3 states/eV per cell. Its space group is P4/mmm, No. 123.

***

# Mg3Si4

An optimized crystal structure of Mg3Si4 (PBE-GGA, the Alexandria database).

Cell lengths 3.8226, 7.9525, 10.3011 Å; angles 112.92, 91.35, 96.72 degrees
Element x y z (fractional)
1 Mg 0.6706 0.6124 0.4992
2 Mg 0.2960 0.9162 0.7712
3 Mg 0.3934 0.3228 0.9751
4 Mg 0.9224 0.6541 0.9340
5 Mg 0.0746 0.0249 0.4971
6 Mg 0.0967 0.3259 0.2790
7 Si 0.8229 0.3588 0.6469
8 Si 0.3741 0.5599 0.7189
9 Si 0.1516 0.6800 0.3265
10 Si 0.6396 0.6726 0.1852
11 Si 0.8471 0.1640 0.7717
12 Si 0.6860 0.9744 0.1792
13 Si 0.5731 0.2107 0.4068
14 Si 0.1987 0.0233 0.0559

## Properties
Its total energy is -3.69 eV/atom. Its magnetization is 0.000 Bohr magnetons per cell. The theoretical density comes out at 2.15 g/cm³. As for the energy above the most stable polymorph in this dataset: 0.0418 eV per atom. The value obtained for the raw formation energy is 0.66 eV/f.u. For the density of states at the Fermi level, the calculation gives 3.4 states/eV per cell. Its space group is P1, No. 1.